The following is a PBE+U calculation of crystalline Mn3CrBr2F6 at its relaxed geometry, from Alexandria.

## Properties
- Calculated total energy: -5.775 eV/atom
- Symmetry: No. 12
- DOS(E_F): 0.00 states/eV per cell

a b c (Å): 6.574 6.574 5.092
angles (deg): 91.57 91.57 59.71
Fractional positions:
Mn: 0.000 0.000 0.000
Mn: 0.000 0.500 0.500
Mn: 0.500 0.000 0.500
Cr: 0.500 0.500 0.500
Br: 0.325 0.325 0.846
Br: 0.675 0.675 0.154
F: 0.149 0.149 0.276
F: 0.178 0.661 0.293
F: 0.339 0.822 0.707
F: 0.661 0.178 0.293
F: 0.822 0.339 0.707
F: 0.851 0.851 0.724